Compound: GeTeAs2Ru
Source: Alexandria
Functional: PBE
Structure: optimized geometry

Computed properties:
Magnetization (μB/atom): 0.109
Formation energy from raw total energies (kJ/mol of atoms): 124

a = 4.767 Å, b = 5.218 Å, c = 4.767 Å
α = 90.00°, β = 90.00°, γ = 90.00°
Atoms (fractional coordinates):
Ru1 0.500 0.500 0.500
As1 0.000 0.000 0.500
As2 0.500 0.000 0.000
Te1 0.000 0.500 0.000
Ge1 0.000 0.000 0.000



Compound: Y3AlGa7
Source: Alexandria
Functional: PBE
Structure: optimized geometry

Computed properties:
Magnetization (μB/atom): 0.000
Energy of formation (eV per atom): -0.4335

a = 4.095 Å, b = 10.013 Å, c = 11.565 Å
α = 90.00°, β = 90.00°, γ = 101.80°
Atoms (fractional coordinates):
Ga1 0.254 0.508 0.443
Ga2 0.367 0.734 0.143
Ga3 0.746 0.492 0.943
Ga4 0.746 0.492 0.557
Ga5 0.398 0.796 0.750
Ga6 0.602 0.204 0.250
Ga7 0.367 0.734 0.357
Ga8 0.495 0.990 0.390
Ga9 0.505 0.010 0.610
Ga10 0.505 0.010 0.890
Ga11 0.633 0.266 0.643
Ga12 0.633 0.266 0.857
Ga13 0.495 0.990 0.110
Ga14 0.254 0.508 0.057
Y1 0.241 0.482 0.750
Y2 0.897 0.795 0.961
Y3 0.103 0.205 0.461
Y4 0.103 0.205 0.039
Y5 0.897 0.795 0.539
Y6 0.759 0.518 0.250
Al1 0.060 0.119 0.750
Al2 0.940 0.881 0.250



Compound: LiAlSnIr
Source: Alexandria
Functional: PBE
Structure: optimized geometry

Computed properties:
Magnetization (μB/atom): 0.000
Energy of formation (eV per atom): -0.4805

a = 4.462 Å, b = 4.462 Å, c = 4.462 Å
α = 60.00°, β = 60.00°, γ = 60.00°
Atoms (fractional coordinates):
Sn1 0.500 0.500 0.500
Al1 0.000 0.000 0.000
Ir1 0.250 0.250 0.250
Li1 0.750 0.750 0.750



Compound: PrDyY5Ho2
Source: Alexandria
Functional: PBE
Structure: optimized geometry

Computed properties:
Magnetization (μB/atom): 0.000
Energy of formation (eV per atom): 0.1561

a = 5.640 Å, b = 10.449 Å, c = 10.562 Å
α = 90.00°, β = 90.00°, γ = 105.66°
Atoms (fractional coordinates):
Pr1 0.198 0.396 0.014
Pr2 0.802 0.604 0.514
Y1 0.478 0.957 0.737
Y2 0.390 0.781 0.025
Y3 0.699 0.398 0.205
Y4 0.984 0.967 0.524
Y5 0.721 0.442 0.813
Y6 0.522 0.043 0.237
Y7 0.016 0.033 0.024
Y8 0.279 0.558 0.313
Y9 0.301 0.602 0.705
Y10 0.610 0.219 0.525
Ho1 0.110 0.220 0.736
Ho2 0.887 0.775 0.820
Ho3 0.113 0.225 0.320
Ho4 0.890 0.780 0.236
Dy1 0.414 0.828 0.451
Dy2 0.586 0.172 0.951



Compound: ZrTl2Os
Source: Alexandria
Functional: PBE
Structure: optimized geometry

Computed properties:
Magnetization (μB/atom): 0.000
E above lowest polymorph (meV per atom): 316
Energy of formation (eV per atom): 0.4758

a = 4.604 Å, b = 4.238 Å, c = 4.238 Å
α = 90.00°, β = 90.00°, γ = 90.00°
Atoms (fractional coordinates):
Zr1 0.500 0.500 0.000
Os1 0.500 0.000 0.500
Tl1 0.000 0.500 0.500
Tl2 0.000 0.000 0.000



Compound: Nd2CdSn3Pd4
Source: Alexandria
Functional: PBE
Structure: optimized geometry

Computed properties:
Magnetization (μB/atom): 0.000
Energy of formation (eV per atom): -0.7128

a = 4.545 Å, b = 4.545 Å, c = 10.916 Å
α = 90.00°, β = 90.00°, γ = 90.00°
Atoms (fractional coordinates):
Pd1 0.000 0.000 0.000
Pd2 0.500 0.000 0.636
Pd3 0.000 0.500 0.364
Pd4 0.500 0.500 0.000
Nd1 0.500 0.000 0.244
Nd2 0.000 0.500 0.756
Sn1 0.000 0.500 0.128
Sn2 0.500 0.000 0.872
Sn3 0.000 0.000 0.500
Cd1 0.500 0.500 0.500



| no. | Fermi-level density of states (states/eV/f.u.) |
| --- | --- |
| 1 | 4.47 |
| 2 | 4.05 |
| 3 | 0.53 |
| 4 | 15.19 |
| 5 | 4.18 |
| 6 | 6.74 |